Entry 1:
## Fe3SiF (GGA-PBEsol)

Data for a geometry-optimized Fe3SiF structure.

Output
As for the density of states at the Fermi level: 2.79 states/eV/f.u. The space group is Pm-3m (221). The value obtained for the formation energy (no corrections) is 0.28 eV per atom.

Cell lengths 3.935, 3.935, 3.935 Å; angles 90.00, 90.00, 90.00 degrees
Atoms (fractional coordinates):
Si: 0.500 0.500 0.500
Fe: 0.000 0.000 0.500
Fe: 0.500 0.000 0.000
Fe: 0.000 0.500 0.000
F: 0.000 0.000 0.000

***

Entry 2:
## La2Al (GGA-PBEsol)

Data for a geometry-optimized La2Al structure.

Output
As for the density of states at the Fermi level: 2.91 states/eV/f.u. The calculation puts the energy of formation from the pure elements at -0.25 eV/atom. The space group is Immm (71).

Cell lengths 3.580, 4.485, 5.870 Å; angles 112.46, 107.75, 90.00 degrees
Atoms (fractional coordinates):
La: 0.347 0.347 0.694
La: 0.653 0.653 0.306
Al: 0.000 0.000 0.000

***

| no. | calculated volume (Å³ per atom) |
| --- | --- |
| 1 | 12.190 |
| 2 | 27.407 |